Record 1
Here is a relaxed TlOsS2Cl crystal from the Alexandria database. Energies are from PBE.

Cell: 4.5783 4.5783 5.4126 Å, 90.00 90.00 90.00°
Space group P4/mmm (No. 123)
Unique sites:
Tl: 0.0000 0.0000 0.0000 (multiplicity 1)
Os: 0.5000 0.5000 0.5000 (multiplicity 1)
S: 0.0000 0.5000 0.5000 (multiplicity 2)
Cl: 0.5000 0.5000 0.0000 (multiplicity 1)

The formation energy from raw total energies comes out at 0.0102 eV/atom. The offset from the most stable computed form comes out at 0.00 eV/f.u.

***

Record 2
Here is a relaxed HfRuSN2 crystal from the Alexandria database. Energies are from PBE.

Cell: 4.0623 4.0623 5.1646 Å, 90.00 90.00 90.00°
Space group P4/mmm (No. 123)
Unique sites:
Hf: 0.0000 0.0000 0.0000 (multiplicity 1)
Ru: 0.5000 0.5000 0.5000 (multiplicity 1)
S: 0.0000 0.0000 0.5000 (multiplicity 1)
N: 0.0000 0.5000 0.0000 (multiplicity 2)

The formation energy from raw total energies comes out at 0.7788 eV/atom.

***

Record 3
Here is a relaxed TbZrGaCu crystal from the Alexandria database. Energies are from PBE.

Cell: 6.8689 6.8689 6.8689 Å, 90.00 90.00 90.00°
Space group F-43m (No. 216)
Unique sites:
Tb: 0.0000 0.0000 0.0000 (multiplicity 4)
Zr: 0.0000 0.0000 0.5000 (multiplicity 4)
Ga: 0.2500 0.2500 0.2500 (multiplicity 4)
Cu: 0.2500 0.2500 0.7500 (multiplicity 4)

For the formation energy, the calculation gives -29.0 kJ/mol of atoms.

***

Record 4
Here is a relaxed Si3GeMo crystal from the Alexandria database. Energies are from PBE.

Cell: 4.7578 4.7578 4.7578 Å, 90.00 90.00 90.00°
Space group Pm-3m (No. 221)
Unique sites:
Si: 0.0000 0.0000 0.5000 (multiplicity 3)
Ge: 0.5000 0.5000 0.5000 (multiplicity 1)
Mo: 0.0000 0.0000 0.0000 (multiplicity 1)

The formation energy from raw total energies comes out at 0.7258 eV/atom. The offset from the most stable computed form comes out at 0.00 eV/f.u.

***

Record 5
Here is a relaxed AcCeTeAs crystal from the Alexandria database. Energies are from PBE.

Cell: 4.3878 4.3878 23.6933 Å, 90.00 90.00 120.00°
Space group R3m (No. 160, hexagonal axes)
Unique sites:
Ac: 0.0000 0.0000 0.0000 (multiplicity 3)
Ce: 0.0000 0.0000 0.1872 (multiplicity 3)
Te: 0.0000 0.0000 0.4305 (multiplicity 3)
As: 0.0000 0.0000 0.5902 (multiplicity 3)

The formation energy from raw total energies comes out at -1.3972 eV/atom.

***

Record 6
Here is a relaxed RbHf2Tc crystal from the Alexandria database. Energies are from PBE.

Cell: 6.9476 6.9476 13.5461 Å, 90.00 90.00 90.00°
Space group I4_1/amd (No. 141, origin choice 2)
Unique sites:
Rb: 0.0000 0.2500 0.3750 (multiplicity 4)
Hf: 0.0000 0.0000 0.0000 (multiplicity 8)
Tc: 0.0000 0.2500 0.8750 (multiplicity 4)

For the formation energy, the calculation gives 116.0 kJ/mol of atoms. The offset from the most stable computed form comes out at 0.65 eV/f.u.

***

Record 7
Here is a relaxed Na2In2Cu crystal from the Alexandria database. Energies are from PBE.

Cell: 4.1294 4.1294 17.6057 Å, 90.00 90.00 90.00°
Space group I4/mmm (No. 139)
Unique sites:
Na: 0.0000 0.0000 0.0893 (multiplicity 4)
In: 0.0000 0.5000 0.2500 (multiplicity 4)
Cu: 0.0000 0.0000 0.5000 (multiplicity 2)

For the formation energy, the calculation gives 26.9 kJ/mol of atoms. The offset from the most stable computed form comes out at 1.26 eV/f.u.

***

Record 8
Here is a relaxed Ba3Zn2Hg2Bi4 crystal from the Alexandria database. Energies are from PBE.

Cell: 5.0571 5.0571 28.6651 Å, 90.00 90.00 90.00°
Space group I4/mmm (No. 139)
Unique sites:
Ba: 0.0000 0.0000 0.0000 (multiplicity 2)
Ba: 0.0000 0.0000 0.1925 (multiplicity 4)
Zn: 0.0000 0.0000 0.4572 (multiplicity 4)
Hg: 0.0000 0.0000 0.3188 (multiplicity 4)
Bi: 0.0000 0.5000 0.0992 (multiplicity 8)

For the formation energy, the calculation gives -46.3 kJ/mol of atoms.

***

Record 9
Here is a relaxed Nd11Mg9Cd4 crystal from the Alexandria database. Energies are from PBE.

Cell: 15.5475 23.1716 3.8646 Å, 90.00 90.00 90.00°
Space group Cmmm (No. 65)
Unique sites:
Nd: 0.0000 0.0000 0.0000 (multiplicity 2)
Nd: 0.0000 0.1678 0.0000 (multiplicity 4)
Nd: 0.0000 0.3479 0.0000 (multiplicity 4)
Nd: 0.2398 0.1717 0.0000 (multiplicity 8)
Nd: 0.2411 0.5000 0.0000 (multiplicity 4)
Mg: 0.0000 0.5000 0.5000 (multiplicity 2)
Mg: 0.1160 0.2577 0.5000 (multiplicity 8)
Mg: 0.1263 0.0804 0.5000 (multiplicity 8)
Cd: 0.1414 0.4086 0.5000 (multiplicity 8)

For the formation energy, the calculation gives -14.9 kJ/mol of atoms.

***

Record 10
Here is a relaxed Mg2ScCd2 crystal from the Alexandria database. Energies are from PBE.

Cell: 8.2074 8.2074 3.3342 Å, 90.00 90.00 90.00°
Space group P4/mbm (No. 127)
Unique sites:
Mg: 0.1727 0.3273 0.0000 (multiplicity 4)
Sc: 0.0000 0.0000 0.5000 (multiplicity 2)
Cd: 0.1287 0.6287 0.5000 (multiplicity 4)

For the formation energy, the calculation gives -6.6 kJ/mol of atoms. The offset from the most stable computed form comes out at 0.00 eV/f.u.

***

Record 11
Here is a relaxed Li5Si2Ag4 crystal from the Alexandria database. Energies are from PBE.

Cell: 7.3443 2.8073 9.2628 Å, 90.00 104.71 90.00°
Space group P2/m (No. 10)
Unique sites:
Li: 0.0000 0.0000 0.0000 (multiplicity 1)
Li: 0.1611 0.0000 0.3501 (multiplicity 2)
Li: 0.3225 0.0000 0.8863 (multiplicity 2)
Si: 0.4607 0.0000 0.6186 (multiplicity 2)
Ag: 0.1594 0.5000 0.6272 (multiplicity 2)
Ag: 0.3376 0.5000 0.1504 (multiplicity 2)

The formation energy from raw total energies comes out at -0.0946 eV/atom.

***

Record 12
Here is a relaxed AlTlCu2Te4 crystal from the Alexandria database. Energies are from PBE.

Cell: 6.2635 6.2635 12.3246 Å, 90.00 90.00 90.00°
Space group I-42m (No. 121)
Unique sites:
Al: 0.0000 0.0000 0.0000 (multiplicity 2)
Tl: 0.0000 0.0000 0.5000 (multiplicity 2)
Cu: 0.0000 0.5000 0.2500 (multiplicity 4)
Te: 0.2304 0.2304 0.8607 (multiplicity 8)

The formation energy from raw total energies comes out at -0.2297 eV/atom.

***

Record 13
Here is a relaxed ErMg3Zn4 crystal from the Alexandria database. Energies are from PBE.

Cell: 4.6237 4.6237 7.0986 Å, 90.00 90.00 90.00°
Space group P4/mmm (No. 123)
Unique sites:
Er: 0.0000 0.0000 0.0000 (multiplicity 1)
Mg: 0.0000 0.0000 0.5000 (multiplicity 1)
Mg: 0.5000 0.5000 0.0000 (multiplicity 1)
Mg: 0.5000 0.5000 0.5000 (multiplicity 1)
Zn: 0.0000 0.5000 0.2601 (multiplicity 4)

For the formation energy, the calculation gives -17.4 kJ/mol of atoms.

***

Record 14
Here is a relaxed LaNdYCd crystal from the Alexandria database. Energies are from PBE.

Cell: 7.9538 7.9538 7.9538 Å, 90.00 90.00 90.00°
Space group F-43m (No. 216)
Unique sites:
La: 0.0000 0.0000 0.0000 (multiplicity 4)
Nd: 0.0000 0.0000 0.5000 (multiplicity 4)
Y: 0.2500 0.2500 0.2500 (multiplicity 4)
Cd: 0.2500 0.2500 0.7500 (multiplicity 4)

For the formation energy, the calculation gives -3.8 kJ/mol of atoms. The offset from the most stable computed form comes out at 0.48 eV/f.u.

***

Record 15
Here is a relaxed CeEr5Sc3 crystal from the Alexandria database. Energies are from PBE.

Cell: 14.2639 10.4548 9.9379 Å, 90.00 127.80 90.00°
Space group C2/m (No. 12)
Unique sites:
Ce: 0.0629 0.0000 0.3026 (multiplicity 4)
Er: 0.0000 0.3152 0.0000 (multiplicity 4)
Er: 0.0196 0.5000 0.6760 (multiplicity 4)
Er: 0.1698 0.2461 0.5960 (multiplicity 8)
Er: 0.2280 0.0000 0.9203 (multiplicity 4)
Sc: 0.0000 0.0000 0.0000 (multiplicity 2)
Sc: 0.0000 0.0000 0.5000 (multiplicity 2)
Sc: 0.1943 0.5000 0.3401 (multiplicity 4)
Sc: 0.2486 0.0000 0.2825 (multiplicity 4)

For the formation energy, the calculation gives 58.0 kJ/mol of atoms.

***

Record 16
Here is a relaxed Li2TlPd2 crystal from the Alexandria database. Energies are from PBE.

Cell: 7.2131 7.2131 3.0008 Å, 90.00 90.00 90.00°
Space group P4/mbm (No. 127)
Unique sites:
Li: 0.1217 0.3783 0.0000 (multiplicity 4)
Tl: 0.0000 0.0000 0.0000 (multiplicity 2)
Pd: 0.1751 0.6751 0.5000 (multiplicity 4)

For the formation energy, the calculation gives -28.9 kJ/mol of atoms. The offset from the most stable computed form comes out at 0.19 eV/f.u.

***

Record 17
Here is a relaxed TaFe2Re crystal from the Alexandria database. Energies are from PBE.

Cell: 2.7617 2.7617 25.8151 Å, 90.00 90.00 120.00°
Space group R-3m (No. 166, hexagonal axes)
Unique sites:
Ta: 0.0000 0.0000 0.0000 (multiplicity 3)
Fe: 0.0000 0.0000 0.2465 (multiplicity 6)
Re: 0.0000 0.0000 0.5000 (multiplicity 3)

For the formation energy, the calculation gives 24.4 kJ/mol of atoms.

***

Record 18
Here is a relaxed Ac8Tb3Er2 crystal from the Alexandria database. Energies are from PBE.

Cell: 6.5900 8.5219 10.1219 Å, 65.34 89.89 82.66°
Space group P-1 (No. 2)
Unique sites:
Ac: 0.0826 0.0433 0.3057 (multiplicity 2)
Ac: 0.1578 0.5813 0.6127 (multiplicity 2)
Ac: 0.2333 0.1171 0.9191 (multiplicity 2)
Ac: 0.3103 0.6439 0.2269 (multiplicity 2)
Tb: 0.0000 0.5000 0.0000 (multiplicity 1)
Tb: 0.4607 0.7285 0.8447 (multiplicity 2)
Er: 0.3868 0.1812 0.5390 (multiplicity 2)

For the formation energy, the calculation gives 6.0 kJ/mol of atoms.

***

Record 19
Here is a relaxed PrNd5TlIn2 crystal from the Alexandria database. Energies are from PBE.

Cell: 8.9257 8.9257 14.2085 Å, 90.00 90.00 90.00°
Space group I4/mcm (No. 140)
Unique sites:
Pr: 0.0000 0.5000 0.2500 (multiplicity 4)
Nd: 0.0000 0.0000 0.0000 (multiplicity 4)
Nd: 0.2044 0.2956 0.1331 (multiplicity 16)
Tl: 0.0000 0.0000 0.2500 (multiplicity 4)
In: 0.1083 0.3917 0.5000 (multiplicity 8)

For the formation energy, the calculation gives -12.5 kJ/mol of atoms.

***

Record 20
Here is a relaxed Tb4Nd3Ho4 crystal from the Alexandria database. Energies are from PBE.

Cell: 10.6261 5.7189 12.0502 Å, 90.00 90.00 90.00°
Space group Amm2 (No. 38)
Unique sites:
Tb: 0.0000 0.0000 0.0000 (multiplicity 2)
Tb: 0.2095 0.0000 0.4817 (multiplicity 4)
Tb: 0.5000 0.0000 0.9350 (multiplicity 2)
Nd: 0.2033 0.0000 0.7852 (multiplicity 4)
Nd: 0.5000 0.0000 0.6353 (multiplicity 2)
Ho: 0.0000 0.0000 0.2724 (multiplicity 2)
Ho: 0.2859 0.0000 0.1339 (multiplicity 4)
Ho: 0.5000 0.0000 0.3358 (multiplicity 2)

For the formation energy, the calculation gives 15.1 kJ/mol of atoms. The offset from the most stable computed form comes out at 0.00 eV/f.u.

***

| no. | magnetic moment (Bohr magnetons per cell) |
| --- | --- |
| 1 | 0.00 |
| 2 | 4.38 |
| 3 | 2.68 |
| 4 | 0.00 |
| 5 | 4.00 |
| 6 | 0.00 |
| 7 | 0.00 |
| 8 | 0.00 |
| 9 | 0.00 |
| 10 | 1.40 |
| 11 | 0.00 |
| 12 | 0.00 |
| 13 | 0.00 |
| 14 | 0.01 |
| 15 | 3.41 |
| 16 | 0.00 |
| 17 | 10.63 |
| 18 | 0.00 |
| 19 | 0.00 |
| 20 | 0.00 |